CeTh5 | PBE-GGA | relaxed

extended XYZ file:
```
6
Lattice="5.030 0.000 0.000 0.000 5.002 0.000 0.000 -2.501 7.459" Properties=species:S:1:pos:R:3 pbc="T T T"
Ce 0.000 0.000 0.000
Th 0.000 2.501 2.478
Th 0.000 0.000 4.981
Th 2.515 2.501 0.000
Th 2.515 0.000 2.480
Th 2.515 2.501 4.979
```

Computed properties:
ΔH_f (0 K): 0.0124 eV/atom
SG: Cmmm (65)
theoretical density: 11.5 Mg/m³
DFT total energy: -7.160 eV per atom

Ce7Th3 | PBE-GGA | relaxed

extended XYZ file:
```
10
Lattice="4.617 0.000 -1.416 -0.934 6.061 -3.044 0.607 -0.548 10.211" Properties=species:S:1:pos:R:3 pbc="T T T"
Ce -0.467 3.030 -1.522
Ce 0.887 1.597 2.893
Ce 3.402 3.915 2.858
Ce 2.243 0.176 7.311
Ce 2.047 5.337 -1.560
Ce 1.773 3.206 5.779
Ce 2.517 2.306 -0.028
Th 0.000 0.000 0.000
Th 0.417 4.614 1.360
Th 3.872 0.898 4.391
```

Computed properties:
ΔH_f (0 K): 0.0120 eV/atom
SG: C2/m (12)
theoretical density: 9.9 Mg/m³
DFT total energy: -6.368 eV per atom

Ce7Th5 | PBE-GGA | relaxed

extended XYZ file:
```
12
Lattice="-1.051 3.507 -3.206 -1.194 -4.789 -4.848 -9.354 2.006 5.259" Properties=species:S:1:pos:R:3 pbc="T T T"
Ce -8.025 0.862 3.573
Ce -1.122 -0.641 -4.027
Ce -2.523 -3.646 -3.162
Ce -8.617 -1.513 1.168
Ce -1.931 -1.271 -0.757
Ce -4.390 -0.769 -3.096
Ce -7.208 1.492 0.301
Th -3.824 1.625 -0.663
Th -5.274 -1.392 0.206
Th -7.774 -0.901 -2.132
Th -0.525 1.754 -1.603
Th -4.677 1.003 2.629
```

Computed properties:
ΔH_f (0 K): 0.0185 eV/atom
SG: Cmmm (65)
theoretical density: 10.2 Mg/m³
DFT total energy: -6.535 eV per atom

The lowest theoretical density belongs to which entry?
Ce7Th3